Entry 1:
Computed, not measured: a geometry-optimized Dy3ZnPt3 structure at the PBE level of DFT.

Results
**Energy above the lowest structure with this stoichiometry**: 220 meV/atom
**Symmetry**: P6_3/m
**Crystal system**: hexagonal
**E_form**: -6.22 eV per formula unit

Structure (extended XYZ):
```
14
Lattice="5.640 0.000 0.000 0.000 8.536 0.000 0.000 -4.268 7.393" Properties=species:S:1:pos:R:3 pbc="T T T"
Dy 4.230 3.131 4.908
Dy 4.230 2.720 0.258
Dy 4.230 6.953 2.227
Dy 1.410 1.137 2.484
Dy 1.410 1.548 7.135
Dy 1.410 -2.685 5.166
Zn 1.410 4.268 2.464
Zn 4.230 0.000 4.928
Pt 1.410 3.022 4.691
Pt 1.410 2.963 0.271
Pt 1.410 6.820 2.430
Pt 4.230 1.246 2.701
Pt 4.230 1.306 7.121
Pt 4.230 -2.552 4.962
```

***

Entry 2:
Computed, not measured: a geometry-optimized DyZn2Pt5 structure at the PBE level of DFT.

Results
**Symmetry**: Immm
**Crystal system**: orthorhombic
**E_form**: -4.60 eV per formula unit

Structure (extended XYZ):
```
8
Lattice="3.787 0.000 0.000 1.893 6.241 0.528 1.893 1.665 6.038" Properties=species:S:1:pos:R:3 pbc="T T T"
Dy 0.000 0.000 0.000
Zn 5.680 5.893 4.894
Zn 1.893 2.013 1.672
Pt 1.893 3.953 3.283
Pt 3.787 3.809 1.261
Pt 3.787 4.097 5.305
Pt 3.787 5.967 3.053
Pt 3.787 1.939 3.512
```

***

Entry 3:
Computed, not measured: a geometry-optimized Dy3Zn2Pt structure at the PBE level of DFT.

Results
**Symmetry**: P-3m1
**Crystal system**: trigonal
**E_form**: -3.97 eV per formula unit

Structure (extended XYZ):
```
6
Lattice="4.990 0.000 0.000 -2.495 4.321 0.000 0.000 0.000 6.148" Properties=species:S:1:pos:R:3 pbc="T T T"
Dy 0.000 0.000 3.074
Dy 2.495 1.440 5.195
Dy 0.000 2.881 0.953
Zn 2.495 1.440 2.191
Zn 0.000 2.881 3.956
Pt 0.000 0.000 0.000
```

***

Entry 4:
Computed, not measured: a geometry-optimized DyZn2Pt6 structure at the PBE level of DFT.

Results
**Symmetry**: P-31m
**Crystal system**: trigonal
**E_form**: -4.06 eV per formula unit

Structure (extended XYZ):
```
9
Lattice="4.734 0.000 0.000 -2.367 4.100 0.000 0.000 0.000 9.012" Properties=species:S:1:pos:R:3 pbc="T T T"
Dy 0.000 0.000 0.000
Zn 0.000 2.733 4.506
Zn 2.367 1.367 4.506
Pt 3.128 0.000 2.358
Pt 0.803 1.391 2.358
Pt -1.564 2.709 2.358
Pt 1.564 2.709 6.654
Pt -0.803 1.391 6.654
Pt 1.607 0.000 6.654
```

***

Entry 5:
Computed, not measured: a geometry-optimized DyZnPt structure at the PBE level of DFT.

Results
**Symmetry**: P2_1/m
**Crystal system**: monoclinic
**E_form**: -2.43 eV per formula unit

Structure (extended XYZ):
```
6
Lattice="4.903 0.000 -0.101 0.000 5.247 0.000 -2.437 0.000 4.699" Properties=species:S:1:pos:R:3 pbc="T T T"
Dy 1.962 1.312 3.416
Dy 0.504 3.936 1.181
Zn 2.020 1.312 0.460
Zn 0.445 3.936 4.137
Pt -0.479 1.312 1.760
Pt 2.944 3.936 2.837
```

***

Entry 6:
Computed, not measured: a geometry-optimized Dy4Zn3Pt structure at the PBE level of DFT.

Results
**Symmetry**: P4/mmm
**Crystal system**: tetragonal
**E_form**: -4.65 eV per formula unit

Structure (extended XYZ):
```
8
Lattice="-2.202 -2.308 1.602 -0.734 -1.491 -3.159 10.639 -8.935 1.746" Properties=species:S:1:pos:R:3 pbc="T T T"
Zn 1.192 -4.134 -0.342
Zn 3.852 -6.368 0.094
Zn 6.511 -8.601 0.531
Pt -1.468 -1.900 -0.779
Dy 9.377 -7.876 1.539
Dy 1.262 -1.060 0.207
Dy 3.972 -3.336 0.652
Dy 6.667 -5.599 1.094
```

***

Entry 7:
Computed, not measured: a geometry-optimized DyZnPt2 structure at the PBE level of DFT.

Results
**Symmetry**: Pnma
**Crystal system**: orthorhombic
**E_form**: -3.72 eV per formula unit

Structure (extended XYZ):
```
16
Lattice="-2.394 -1.509 -4.979 -1.435 -6.451 2.645 -6.401 2.389 2.353" Properties=species:S:1:pos:R:3 pbc="T T T"
Dy -1.365 -2.075 -1.012
Dy -6.137 -4.988 -1.128
Dy -8.865 -3.496 1.031
Dy -4.093 -0.583 1.147
Zn -4.426 -1.665 -1.674
Zn -2.143 -4.810 1.475
Zn -5.804 -3.906 1.693
Zn -8.087 -0.761 -1.455
Pt -3.506 -1.242 -4.023
Pt -4.356 -6.048 1.135
Pt -6.142 -1.716 2.971
Pt -6.456 -2.136 -0.044
Pt -6.724 -4.329 4.042
Pt -5.874 0.477 -1.115
Pt -4.088 -3.855 -2.952
Pt -3.774 -3.435 0.063
```

***

Entry 8:
Computed, not measured: a geometry-optimized Dy2Zn15Pt2 structure at the PBE level of DFT.

Results
**Symmetry**: R-3m
**Crystal system**: trigonal
**E_form**: -6.46 eV per formula unit

Structure (extended XYZ):
```
19
Lattice="-3.722 1.248 -5.544 -5.862 -2.566 2.281 -2.763 5.843 2.093" Properties=species:S:1:pos:R:3 pbc="T T T"
Dy -4.138 1.516 -0.392
Dy -8.210 3.009 -0.779
Zn -1.861 0.624 -2.772
Zn -1.381 2.922 1.046
Zn -2.931 -1.283 1.140
Zn -4.971 -0.149 2.227
Zn -4.337 0.152 -3.295
Zn -3.038 4.523 -0.102
Zn -5.247 -1.470 0.032
Zn -3.447 2.569 -3.350
Zn -3.653 3.426 2.147
Zn -6.163 2.316 1.962
Zn -6.634 0.062 -1.784
Zn -5.113 4.186 -1.876
Zn -6.184 2.209 -3.133
Zn -5.713 4.463 0.613
Zn -7.234 0.338 0.706
Pt -1.388 0.509 -0.132
Pt -10.959 4.016 -1.039
```

***

| no. | DOS at the Fermi energy (states/eV/cell) |
| --- | --- |
| 1 | 4.99 |
| 2 | 3.18 |
| 3 | 4.32 |
| 4 | 4.77 |
| 5 | 2.30 |
| 6 | 5.99 |
| 7 | 8.33 |
| 8 | 7.72 |